Material: Cs5Li2Tl12
Method: DFT, PBE
State: relaxed

Geometry as POSCAR:
```
Cs5Li2Tl12
1.0
11.128 -4.166 0.000
11.128 4.166 0.000
-0.607 0.000 7.646
Cs Li Tl
5 2 12
Direct
0.000 0.000 0.000 Cs
0.228 0.228 0.006 Cs
0.243 0.243 0.508 Cs
0.757 0.757 0.492 Cs
0.772 0.772 0.994 Cs
0.298 0.702 0.500 Li
0.702 0.298 0.500 Li
0.073 0.073 0.484 Tl
0.171 0.578 0.266 Tl
0.194 0.577 0.791 Tl
0.422 0.829 0.734 Tl
0.423 0.806 0.209 Tl
0.488 0.488 0.188 Tl
0.512 0.512 0.812 Tl
0.577 0.194 0.791 Tl
0.578 0.171 0.266 Tl
0.806 0.423 0.209 Tl
0.829 0.422 0.734 Tl
0.927 0.927 0.516 Tl
```

## Properties
Final energy, eV per atom: -1.97
Formation enthalpy at 0 K, kJ/mol of atoms: -4.87


Material: K3Er3AsO8
Method: DFT, PBE
State: relaxed

Geometry as POSCAR:
```
K3Er3AsO8
1.0
3.354 1.936 6.303
-3.354 1.936 6.303
0.000 -3.872 6.303
K Er As O
3 3 1 8
Direct
0.000 0.500 0.500 K
0.500 0.000 0.500 K
0.500 0.500 0.000 K
0.000 0.000 0.500 Er
0.000 0.500 0.000 Er
0.500 0.000 0.000 Er
0.500 0.500 0.500 As
0.227 0.227 0.227 O
0.254 0.709 0.709 O
0.291 0.291 0.746 O
0.291 0.746 0.291 O
0.709 0.254 0.709 O
0.709 0.709 0.254 O
0.746 0.291 0.291 O
0.773 0.773 0.773 O
```

## Properties
Final energy, eV per atom: -6.53
Formation energy (no corrections), eV per atom: -2.4441


Material: Rb2CaMgF6
Method: DFT, PBE
State: relaxed

Geometry as POSCAR:
```
Rb2CaMgF6
1.0
4.365 0.000 0.000
0.000 4.365 0.000
0.000 0.000 8.554
Rb Ca Mg F
2 1 1 6
Direct
0.000 0.000 0.238 Rb
0.000 0.000 0.762 Rb
0.500 0.500 0.500 Ca
0.500 0.500 0.000 Mg
0.000 0.500 0.000 F
0.000 0.500 0.500 F
0.500 0.000 0.000 F
0.500 0.000 0.500 F
0.500 0.500 0.230 F
0.500 0.500 0.770 F
```

## Properties
Final energy, eV per atom: -5.02
Formation energy (no corrections), eV per atom: -3.3463


Material: AcAu4
Method: DFT, PBE
State: relaxed

Geometry as POSCAR:
```
AcAu4
1.0
0.000 3.059 6.350
3.047 0.000 6.350
3.047 3.059 0.000
Ac Au
1 4
Direct
0.000 0.000 0.000 Ac
0.250 0.250 0.250 Au
0.393 0.393 0.607 Au
0.607 0.607 0.393 Au
0.750 0.750 0.750 Au
```

## Properties
Final energy, eV per atom: -3.96
Formation enthalpy at 0 K, kJ/mol of atoms: -50.30


Material: Nd4Sm2ErMg
Method: DFT, PBE
State: relaxed

Geometry as POSCAR:
```
Nd4Sm2ErMg
1.0
5.083 0.000 0.000
0.000 5.083 0.000
0.000 0.000 10.121
Nd Sm Er Mg
4 2 1 1
Direct
0.000 0.500 0.248 Nd
0.000 0.500 0.752 Nd
0.500 0.000 0.248 Nd
0.500 0.000 0.752 Nd
0.000 0.000 0.000 Sm
0.500 0.500 0.500 Sm
0.000 0.000 0.500 Er
0.500 0.500 0.000 Mg
```

## Properties
Final energy, eV per atom: -4.33
Formation enthalpy at 0 K, kJ/mol of atoms: 0.71


Material: Ac8CdAu2
Method: DFT, PBE
State: relaxed

Geometry as POSCAR:
```
Ac8CdAu2
1.0
10.112 -2.828 0.000
10.112 2.828 0.000
-2.313 0.000 7.273
Ac Cd Au
8 1 2
Direct
0.028 0.028 0.274 Ac
0.198 0.198 0.845 Ac
0.326 0.326 0.508 Ac
0.408 0.408 0.027 Ac
0.592 0.592 0.973 Ac
0.674 0.674 0.492 Ac
0.802 0.802 0.155 Ac
0.972 0.972 0.726 Ac
0.500 0.500 0.500 Cd
0.177 0.177 0.239 Au
0.823 0.823 0.761 Au
```

## Properties
Final energy, eV per atom: -3.97
Formation enthalpy at 0 K, kJ/mol of atoms: -28.82


Material: Ag2PRh
Method: DFT, PBE
State: relaxed

Geometry as POSCAR:
```
Ag2PRh
1.0
3.260 0.000 0.000
0.000 4.509 0.000
0.000 0.000 9.004
Ag P Rh
4 2 2
Direct
0.000 0.000 0.000 Ag
0.000 0.500 0.209 Ag
0.500 0.000 0.709 Ag
0.500 0.500 0.500 Ag
0.000 0.500 0.758 P
0.500 0.000 0.258 P
0.000 0.000 0.427 Rh
0.500 0.500 0.927 Rh
```

## Properties
Final energy, eV per atom: -4.59
Formation enthalpy at 0 K, kJ/mol of atoms: 2.79


Material: TbPmPr4Se8
Method: DFT, PBE
State: relaxed

Geometry as POSCAR:
```
TbPmPr4Se8
1.0
4.355 2.514 7.091
-4.355 2.514 7.091
0.000 -5.028 7.091
Tb Pm Pr Se
1 1 4 8
Direct
0.000 0.000 0.000 Tb
0.626 0.626 0.626 Pm
0.120 0.626 0.626 Pr
0.249 0.249 0.249 Pr
0.626 0.120 0.626 Pr
0.626 0.626 0.120 Pr
0.382 0.382 0.382 Se
0.385 0.385 0.848 Se
0.385 0.848 0.385 Se
0.387 0.868 0.868 Se
0.848 0.385 0.385 Se
0.868 0.387 0.868 Se
0.868 0.868 0.387 Se
0.871 0.871 0.871 Se
```

## Properties
Final energy, eV per atom: -5.75
Formation energy (no corrections), eV per atom: -1.7263


Material: La4Ce3ErN8
Method: DFT, PBE
State: relaxed

Geometry as POSCAR:
```
La4Ce3ErN8
1.0
3.618 2.089 5.969
-3.618 2.089 5.969
0.000 -4.178 5.969
La Ce Er N
4 3 1 8
Direct
0.000 0.000 0.000 La
0.000 0.500 0.500 La
0.500 0.000 0.500 La
0.500 0.500 0.000 La
0.000 0.000 0.500 Ce
0.000 0.500 0.000 Ce
0.500 0.000 0.000 Ce
0.500 0.500 0.500 Er
0.242 0.242 0.242 N
0.242 0.742 0.742 N
0.258 0.258 0.758 N
0.258 0.758 0.258 N
0.742 0.242 0.742 N
0.742 0.742 0.242 N
0.758 0.258 0.258 N
0.758 0.758 0.758 N
```

## Properties
Final energy, eV per atom: -8.24
Formation energy (no corrections), eV per atom: -1.4453


Material: ErGe6Rh12
Method: DFT, PBE
State: relaxed

Geometry as POSCAR:
```
ErGe6Rh12
1.0
5.681 3.280 2.758
-5.681 3.280 2.758
0.000 -6.560 2.758
Er Ge Rh
1 6 12
Direct
0.000 0.000 0.000 Er
0.254 0.254 0.695 Ge
0.254 0.695 0.254 Ge
0.305 0.746 0.746 Ge
0.695 0.254 0.254 Ge
0.746 0.305 0.746 Ge
0.746 0.746 0.305 Ge
0.128 0.500 0.872 Rh
0.128 0.872 0.500 Rh
0.178 0.422 0.422 Rh
0.422 0.178 0.422 Rh
0.422 0.422 0.178 Rh
0.500 0.128 0.872 Rh
0.500 0.872 0.128 Rh
0.578 0.578 0.822 Rh
0.578 0.822 0.578 Rh
0.822 0.578 0.578 Rh
0.872 0.128 0.500 Rh
0.872 0.500 0.128 Rh
```

## Properties
Final energy, eV per atom: -6.75
Formation enthalpy at 0 K, kJ/mol of atoms: -39.90


Material: OsPd3Br
Method: DFT, PBE
State: relaxed

Geometry as POSCAR:
```
OsPd3Br
1.0
4.657 0.000 0.000
0.000 4.657 0.000
0.000 0.000 4.657
Os Pd Br
1 3 1
Direct
0.000 0.000 0.000 Os
0.000 0.500 0.500 Pd
0.500 0.000 0.500 Pd
0.500 0.500 0.000 Pd
0.500 0.500 0.500 Br
```

## Properties
Final energy, eV per atom: -4.23
Formation energy (no corrections), eV per atom: 1.4642


Material: CsH4Au
Method: DFT, PBE
State: relaxed

Geometry as POSCAR:
```
CsH4Au
1.0
5.039 0.000 0.000
2.502 4.996 0.000
2.494 1.689 4.738
Cs H Au
1 4 1
Direct
0.000 0.000 0.000 Cs
0.359 0.438 0.843 H
0.359 0.846 0.438 H
0.641 0.154 0.562 H
0.641 0.562 0.157 H
0.500 0.500 0.500 Au
```

## Properties
Final energy, eV per atom: -3.07